First-principles (PBE) data for a relaxed structure of CePmAs2O8, as listed in the Alexandria database.

CIF file:
```
data_CePmAs2O8
_chemical_formula_sum 'Ce2 Pm2 As4 O16'
_symmetry_space_group_name_H-M 'I -4 m 2'
_symmetry_Int_Tables_number 119
_symmetry_space_group_name_Hall 'I -4 -2'
_cell_length_a 7.355
_cell_length_b 7.355
_cell_length_c 6.536
_cell_angle_alpha 90.00
_cell_angle_beta 90.00
_cell_angle_gamma 90.00
loop_
_atom_site_label
_atom_site_type_symbol
_atom_site_fract_x
_atom_site_fract_y
_atom_site_fract_z
Ce1 Ce 0.000 0.000 0.000
Pm1 Pm 0.000 0.500 0.250
As1 As 0.000 0.000 0.500
As2 As 0.000 0.500 0.750
O1 O 0.000 0.180 0.330
O2 O 0.000 0.322 0.922
```

Summary:
Its spin magnetization is 0.08 μB/atom. Its density is 5.29 g/cm3. The calculation puts the formation energy without anion corrections at -2.31 eV/atom.